Computed, not measured: La3Ir at its PBEsol-relaxed geometry at the meta-GGA SCAN level of DFT.

Calculated values
Its space group is Imm2, No. 44. The total magnetization is 0.0 μB/f.u. For the formation energy, the calculation gives -0.46 eV/atom.

Geometry as extended XYZ:
```
4
Lattice="-1.893 5.378 2.841 1.893 -5.378 2.841 1.893 5.378 -2.841" Properties=species:S:1:pos:R:3 pbc="T T T"
La 0.000 0.000 0.000
La 1.893 3.281 0.008
La 0.000 2.097 2.849
Ir 0.000 5.378 0.378
```